# 1
## ZnBP2S (GGA-PBE)

Data for crystalline ZnBP2S at its relaxed geometry.

Output
**Uncorrected energy**: -3.76 eV per atom
**Total magnetization**: 0.00 μB/f.u.
**E above lowest polymorph**: 0 kJ/mol of formula units
**E_form (uncorrected)**: 4.11 eV per formula unit

a b c (Å): 4.1129 4.1129 4.3215
angles (deg): 90.00 90.00 90.00
Sites, in units of the cell vectors:
P1 0.0000 0.5000 0.0000
P2 0.5000 0.0000 0.0000
Zn1 0.5000 0.5000 0.5000
B1 0.0000 0.0000 0.0000
S1 0.0000 0.0000 0.5000

# 2
## ZnBP2S (GGA-PBE)

Data for crystalline ZnBP2S at its relaxed geometry.

Output
**Uncorrected energy**: -2.88 eV per atom
**Total magnetization**: 0.00 μB/f.u.
**E above lowest polymorph**: 424 kJ/mol of formula units
**E_form (uncorrected)**: 8.50 eV per formula unit

a b c (Å): 4.5627 4.5627 4.7976
angles (deg): 90.00 90.00 90.00
Sites, in units of the cell vectors:
Zn1 0.0000 0.0000 0.0000
P1 0.5000 0.0000 0.0000
P2 0.0000 0.5000 0.0000
B1 0.5000 0.5000 0.5000
S1 0.0000 0.0000 0.5000

# 3
## ZrBPS2 (GGA-PBE)

Data for crystalline ZrBPS2 at its relaxed geometry.

Output
**Uncorrected energy**: -5.01 eV per atom
**Total magnetization**: 0.18 μB/f.u.
**E above lowest polymorph**: 310 kJ/mol of formula units
**E_form (uncorrected)**: 3.82 eV per formula unit

a b c (Å): 4.9572 4.9572 5.1095
angles (deg): 90.00 90.00 90.00
Site moments in Bohr magnetons follow the coordinates.
Sites, in units of the cell vectors:
B1 0.5000 0.5000 0.5000  0.00
S1 0.0000 0.5000 0.0000  0.02
S2 0.5000 0.0000 0.0000  0.02
Zr1 0.0000 0.0000 0.0000  -0.01
P1 0.0000 0.0000 0.5000  0.06

# 4
## ZrBPS2 (GGA-PBE)

Data for crystalline ZrBPS2 at its relaxed geometry.

Output
**Uncorrected energy**: -5.66 eV per atom
**Total magnetization**: 0.00 μB/f.u.
**E above lowest polymorph**: 0 kJ/mol of formula units
**E_form (uncorrected)**: 0.61 eV per formula unit

a b c (Å): 4.2653 4.2653 4.1279
angles (deg): 90.00 90.00 90.00
Sites, in units of the cell vectors:
B1 0.0000 0.0000 0.0000
S1 0.5000 0.0000 0.0000
S2 0.0000 0.5000 0.0000
P1 0.0000 0.0000 0.5000
Zr1 0.5000 0.5000 0.5000

# 5
## ZrBP2S (GGA-PBE)

Data for crystalline ZrBP2S at its relaxed geometry.

Output
**Uncorrected energy**: -4.96 eV per atom
**Total magnetization**: 0.00 μB/f.u.
**E above lowest polymorph**: 413 kJ/mol of formula units
**E_form (uncorrected)**: 5.35 eV per formula unit

a b c (Å): 5.0499 5.0499 4.9490
angles (deg): 90.00 90.00 90.00
Sites, in units of the cell vectors:
B1 0.5000 0.5000 0.5000
Zr1 0.0000 0.0000 0.0000
P1 0.0000 0.5000 0.0000
P2 0.5000 0.0000 0.0000
S1 0.0000 0.0000 0.5000

# 6
## ZrBP2S (GGA-PBE)

Data for crystalline ZrBP2S at its relaxed geometry.

Output
**Uncorrected energy**: -5.82 eV per atom
**Total magnetization**: 0.00 μB/f.u.
**E above lowest polymorph**: 0 kJ/mol of formula units
**E_form (uncorrected)**: 1.07 eV per formula unit

a b c (Å): 3.9579 3.9579 4.8530
angles (deg): 90.00 90.00 90.00
Sites, in units of the cell vectors:
P1 0.5000 0.0000 0.0000
P2 0.0000 0.5000 0.0000
S1 0.0000 0.0000 0.5000
Zr1 0.5000 0.5000 0.5000
B1 0.0000 0.0000 0.0000

# 7
## BSbP2 (GGA-PBE)

Data for crystalline BSbP2 at its relaxed geometry.

Output
**Uncorrected energy**: -4.14 eV per atom
**Total magnetization**: 0.00 μB/f.u.
**E above lowest polymorph**: 410 kJ/mol of formula units
**E_form (uncorrected)**: 5.06 eV per formula unit

a b c (Å): 4.5056 4.5056 4.5056
angles (deg): 60.00 60.00 60.00
Sites, in units of the cell vectors:
B1 0.0000 0.0000 0.0000
Sb1 0.5000 0.5000 0.5000
P1 0.2500 0.2500 0.2500
P2 0.7500 0.7500 0.7500

# 8
## BSb2P (GGA-PBE)

Data for crystalline BSb2P at its relaxed geometry.

Output
**Uncorrected energy**: -4.03 eV per atom
**Total magnetization**: 0.00 μB/f.u.
**E above lowest polymorph**: 194 kJ/mol of formula units
**E_form (uncorrected)**: 4.20 eV per formula unit

a b c (Å): 4.7202 4.7202 4.7202
angles (deg): 60.00 60.00 60.00
Sites, in units of the cell vectors:
P1 0.5000 0.5000 0.5000
Sb1 0.2500 0.2500 0.2500
Sb2 0.7500 0.7500 0.7500
B1 0.0000 0.0000 0.0000

# 9
## BSb2P (GGA-PBE)

Data for crystalline BSb2P at its relaxed geometry.

Output
**Uncorrected energy**: -4.53 eV per atom
**Total magnetization**: 0.00 μB/f.u.
**E above lowest polymorph**: 0 kJ/mol of formula units
**E_form (uncorrected)**: 2.20 eV per formula unit

a b c (Å): 6.2031 6.2031 6.3823
angles (deg): 60.92 60.92 90.00
Sites, in units of the cell vectors:
Sb1 0.8750 0.8224 0.7500
Sb2 0.5724 0.1250 0.2500
Sb3 0.3750 0.4276 0.7500
Sb4 0.1776 0.6250 0.2500
P1 0.7500 0.2500 0.5000
P2 0.0000 0.0000 0.0000
B1 0.2500 0.7500 0.5000
B2 0.5000 0.5000 0.0000

# 10
## BSbP2 (GGA-PBE)

Data for crystalline BSbP2 at its relaxed geometry.

Output
**Uncorrected energy**: -5.20 eV per atom
**Total magnetization**: 0.00 μB/f.u.
**E above lowest polymorph**: 0 kJ/mol of formula units
**E_form (uncorrected)**: 0.81 eV per formula unit

a b c (Å): 5.9134 5.9134 5.7651
angles (deg): 59.14 59.14 90.00
Sites, in units of the cell vectors:
B1 0.5000 0.5000 0.0000
B2 0.2500 0.7500 0.5000
P1 0.3750 0.4766 0.7500
P2 0.5234 0.1250 0.2500
P3 0.2266 0.6250 0.2500
P4 0.8750 0.7734 0.7500
Sb1 0.0000 0.0000 0.0000
Sb2 0.7500 0.2500 0.5000